La3SnGe2Pt9 (PBE, relaxed); final energy = -6.155 eV per atom; ΔH_f (0 K) = -0.662 eV/atom
1.0
-0.689 -5.288 3.904
3.917 -0.305 -5.314
7.223 2.868 5.159
Pt La Ge Sn
9 3 2 1
Direct
0.860 0.140 0.728 Pt
0.140 0.860 0.272 Pt
0.720 0.860 0.272 Pt
0.140 0.280 0.272 Pt
0.860 0.720 0.728 Pt
0.000 0.500 0.000 Pt
0.500 0.000 0.000 Pt
0.280 0.140 0.728 Pt
0.500 0.500 0.000 Pt
0.667 0.333 0.263 La
0.333 0.667 0.737 La
0.000 0.000 0.000 La
0.333 0.667 0.182 Ge
0.667 0.333 0.818 Ge
0.000 0.000 0.500 Sn

Pa4ReAsSe2 (PBE, relaxed); final energy = -8.613 eV per atom; ΔE_f (raw) = -6.9 eV/f.u.
1.0
-0.215 -3.123 2.471
5.981 -2.674 -2.858
1.828 4.196 5.462
Se As Pa Re
2 1 4 1
Direct
0.500 0.000 0.500 Se
0.000 0.500 0.500 Se
0.000 0.000 0.000 As
0.500 0.259 0.238 Pa
0.000 0.731 0.229 Pa
0.500 0.741 0.762 Pa
0.000 0.269 0.771 Pa
0.500 0.500 0.000 Re

Mg3NiSn3 (PBE, relaxed); final energy = -3.323 eV per atom; ΔH_f (0 K) = -0.098 eV/atom
1.0
-4.174 1.183 1.247
-3.046 -2.370 -7.948
0.286 -5.908 6.563
Mg Sn Ni
6 6 2
Direct
0.750 0.884 0.442 Mg
0.250 0.116 0.558 Mg
0.750 0.558 0.116 Mg
0.750 0.558 0.442 Mg
0.250 0.442 0.558 Mg
0.250 0.442 0.884 Mg
0.250 0.846 0.154 Sn
0.750 0.691 0.846 Sn
0.250 0.309 0.154 Sn
0.250 0.846 0.691 Sn
0.750 0.154 0.846 Sn
0.750 0.154 0.309 Sn
0.250 0.667 0.333 Ni
0.750 0.333 0.667 Ni

Rb2DyErTe4 (PBE, relaxed); final energy = -4.335 eV per atom; ΔE_f (raw) = -11.0 eV/f.u.
1.0
-1.721 -1.570 3.864
-0.700 -7.096 -3.195
8.099 0.375 3.759
Te Er Dy Rb
4 1 1 2
Direct
0.000 0.734 0.199 Te
0.000 0.266 0.801 Te
0.500 0.769 0.802 Te
0.500 0.231 0.198 Te
0.000 0.000 0.000 Er
0.500 0.500 0.000 Dy
0.500 0.000 0.500 Rb
0.000 0.500 0.500 Rb

Q: Among the records above, which one has the lowest final energy?
A: Pa4ReAsSe2

Q: final energy of number 4 (Rb2DyErTe4)?
A: -4.335 eV per atom